Version A
The following is a PBEsol calculation of a geometry-optimized CaZr2Rh structure, from Alexandria via LeMat-Bulk.

abc: 3.4017 3.4017 9.6638
angles: 79.86 79.86 60.00
Positions (direct):
1 Rh 0.0000 0.0000 0.0000
2 Zr 0.7283 0.7283 0.8152
3 Zr 0.2717 0.2717 0.1848
4 Ca 0.5000 0.5000 0.5000

## Properties
Magnetization: 0.0 μB/cell
N(E_F): 4.49 states/eV per cell
Symmetry: No. 166
Crystal system: trigonal

***

Version B
The following is a PBEsol calculation of a geometry-optimized CaZr2Rh structure, from Alexandria via LeMat-Bulk.

abc: 3.0518 5.4849 5.5610
angles: 119.55 90.00 90.00
Positions (direct):
1 Rh 0.5000 0.5000 0.0000
2 Zr 0.0000 0.5000 0.5000
3 Zr 0.0000 0.0000 0.5000
4 Ca 0.5000 0.0000 0.0000

## Properties
Magnetization: 0.0 μB/cell
N(E_F): 3.58 states/eV per cell
Symmetry: No. 65
Crystal system: orthorhombic

***

So which one is most stable? That would be version A, about 212 meV per atom below the next structure.

***

Version A
The following is a PBEsol calculation of a geometry-optimized Ca2ScRu structure, from Alexandria via LeMat-Bulk.

abc: 4.2271 4.2271 4.9475
angles: 90.00 90.00 90.00
Positions (direct):
1 Ru 0.5000 0.5000 0.5000
2 Ca 0.0000 0.5000 0.0000
3 Ca 0.5000 0.0000 0.0000
4 Sc 0.0000 0.0000 0.5000

## Properties
Magnetization: 0.0 μB/cell
N(E_F): 3.91 states/eV per cell
Symmetry: No. 123
Crystal system: tetragonal

***

Version B
The following is a PBEsol calculation of a geometry-optimized Ca2ScRu structure, from Alexandria via LeMat-Bulk.

abc: 4.3543 4.3649 7.1269
angles: 107.79 90.00 119.92
Positions (direct):
1 Ru 0.4582 0.9164 0.3730
2 Ca 0.0269 0.0539 0.0807
3 Ca 0.2232 0.4465 0.6720
4 Sc 0.7916 0.5833 0.3743

## Properties
Magnetization: 0.0 μB/cell
N(E_F): 3.17 states/eV per cell
Symmetry: No. 8
Crystal system: monoclinic

***

So which one is most stable? That would be version B, about 256 meV per atom below the next structure.